Record 1
First-principles (PBE-GGA) data for CsTlZnCd2 after structural relaxation, as listed in the Alexandria database.

Output
spin magnetization	0.00	μB/cell
calculated total energy	-1.19	eV per atom
ΔE_f	36	kJ/mol of formula units
density of states at the Fermi level	1.7	states/eV per cell

a = 5.5851 Å, b = 5.5851 Å, c = 5.4777 Å
α = 90.00°, β = 90.00°, γ = 90.00°
Last column: nearest neighbours and their distance in Å.
Space group P4/mmm (No. 123)
Asymmetric unit:
Cs1 0.0000 0.0000 0.0000 (multiplicity 1)  8 Cd 3.91, 4 Tl 3.95
Tl1 0.5000 0.5000 0.0000 (multiplicity 1)  2 Zn 2.74
Zn1 0.5000 0.5000 0.5000 (multiplicity 1)  2 Tl 2.74, 4 Cd 2.79
Cd1 0.0000 0.5000 0.5000 (multiplicity 2)  2 Zn 2.79

=====

Record 2
First-principles (PBE-GGA) data for CsTl2ZnCd after structural relaxation, as listed in the Alexandria database.

Output
spin magnetization	0.00	μB/cell
calculated total energy	-1.45	eV per atom
ΔE_f	50	kJ/mol of formula units
density of states at the Fermi level	3.7	states/eV per cell

a = 5.6411 Å, b = 5.6411 Å, c = 5.5408 Å
α = 90.00°, β = 90.00°, γ = 90.00°
Last column: nearest neighbours and their distance in Å.
Space group P4/mmm (No. 123)
Asymmetric unit:
Cs1 0.0000 0.0000 0.0000 (multiplicity 1)  8 Tl 3.95, 4 Cd 3.99
Tl1 0.0000 0.5000 0.5000 (multiplicity 2)  2 Zn 2.82
Zn1 0.5000 0.5000 0.5000 (multiplicity 1)  2 Cd 2.77, 4 Tl 2.82
Cd1 0.5000 0.5000 0.0000 (multiplicity 1)  2 Zn 2.77

=====

Record 3
First-principles (PBE-GGA) data for CsTmCd2 after structural relaxation, as listed in the Alexandria database.

Output
spin magnetization	0.00	μB/cell
calculated total energy	-1.83	eV per atom
ΔE_f	-14	kJ/mol of formula units
density of states at the Fermi level	4.9	states/eV per cell

a = 3.8431 Å, b = 3.8431 Å, c = 9.1370 Å
α = 90.00°, β = 90.00°, γ = 90.00°
Last column: nearest neighbours and their distance in Å.
Space group P4/mmm (No. 123)
Asymmetric unit:
Cs1 0.0000 0.0000 0.0000 (multiplicity 1)  4 Cs 3.84, 8 Cd 3.98
Tm1 0.0000 0.0000 0.5000 (multiplicity 1)  8 Cd 3.18
Cd1 0.5000 0.5000 0.3188 (multiplicity 2)  4 Tm 3.18, 1 Cd 3.31

=====

Record 4
First-principles (PBE-GGA) data for CsVCd3 after structural relaxation, as listed in the Alexandria database.

Output
spin magnetization	4.54	μB/cell
calculated total energy	-2.17	eV per atom
ΔE_f	178	kJ/mol of formula units
density of states at the Fermi level	3.9	states/eV per cell

a = 5.5903 Å, b = 5.5903 Å, c = 5.5903 Å
α = 90.00°, β = 90.00°, γ = 90.00°
Last column: nearest neighbours and their distance in Å.
Space group Pm-3m (No. 221)
Asymmetric unit:
Cs1 0.0000 0.0000 0.0000 (multiplicity 1)  12 Cd 3.95
V1 0.5000 0.5000 0.5000 (multiplicity 1)  6 Cd 2.80
Cd1 0.0000 0.5000 0.5000 (multiplicity 3)  2 V 2.80

=====

Record 5
First-principles (PBE-GGA) data for Cs3VCd after structural relaxation, as listed in the Alexandria database.

Output
spin magnetization	4.27	μB/cell
calculated total energy	-1.62	eV per atom
ΔE_f	435	kJ/mol of formula units
density of states at the Fermi level	17.2	states/eV per cell

a = 7.2381 Å, b = 7.2381 Å, c = 7.2381 Å
α = 90.00°, β = 90.00°, γ = 90.00°
Last column: nearest neighbours and their distance in Å.
Space group Pm-3m (No. 221)
Asymmetric unit:
Cs1 0.0000 0.0000 0.5000 (multiplicity 3)  2 Cd 3.62
V1 0.5000 0.5000 0.5000 (multiplicity 1)  12 Cs 5.12
Cd1 0.0000 0.0000 0.0000 (multiplicity 1)  6 Cs 3.62

=====

Record 6
First-principles (PBE-GGA) data for Cs2VCd after structural relaxation, as listed in the Alexandria database.

Output
spin magnetization	19.74	μB/cell
calculated total energy	-2.02	eV per atom
ΔE_f	352	kJ/mol of formula units
density of states at the Fermi level	29.9	states/eV per cell

a = 8.7457 Å, b = 8.7457 Å, c = 8.7457 Å
α = 90.00°, β = 90.00°, γ = 90.00°
Last column: nearest neighbours and their distance in Å.
Space group Fm-3m (No. 225)
Asymmetric unit:
Cs1 0.2500 0.2500 0.2500 (multiplicity 8)  4 Cd 3.79, 4 V 3.79
V1 0.0000 0.0000 0.0000 (multiplicity 4)  8 Cs 3.79
Cd1 0.0000 0.0000 0.5000 (multiplicity 4)  8 Cs 3.79

=====

Record 7
First-principles (PBE-GGA) data for CsCdW3 after structural relaxation, as listed in the Alexandria database.

Output
spin magnetization	0.00	μB/cell
calculated total energy	-4.32	eV per atom
distance to the lowest polymorph of the same formula	2.594	eV/f.u.
ΔE_f	1837	kJ/mol of formula units
density of states at the Fermi level	7.1	states/eV per cell

a = 4.9454 Å, b = 4.9454 Å, c = 4.9454 Å
α = 90.00°, β = 90.00°, γ = 90.00°
Last column: nearest neighbours and their distance in Å.
Space group Pm-3m (No. 221)
Asymmetric unit:
Cs1 0.0000 0.0000 0.0000 (multiplicity 1)  6 W 2.47
Cd1 0.5000 0.5000 0.5000 (multiplicity 1)  12 W 3.50
W1 0.0000 0.0000 0.5000 (multiplicity 3)  2 Cs 2.47

=====

Record 8
First-principles (PBE-GGA) data for CsCdW3 after structural relaxation, as listed in the Alexandria database.

Output
spin magnetization	6.07	μB/cell
calculated total energy	-4.84	eV per atom
distance to the lowest polymorph of the same formula	0.000	eV/f.u.
ΔE_f	1587	kJ/mol of formula units
density of states at the Fermi level	11.2	states/eV per cell

a = 5.2107 Å, b = 5.2107 Å, c = 5.2107 Å
α = 90.00°, β = 90.00°, γ = 90.00°
Last column: nearest neighbours and their distance in Å.
Space group Pm-3m (No. 221)
Asymmetric unit:
Cs1 0.0000 0.0000 0.0000 (multiplicity 1)  12 W 3.68
Cd1 0.5000 0.5000 0.5000 (multiplicity 1)  6 W 2.61
W1 0.0000 0.5000 0.5000 (multiplicity 3)  2 Cd 2.61

=====

Record 9
First-principles (PBE-GGA) data for CsYCd2 after structural relaxation, as listed in the Alexandria database.

Output
spin magnetization	0.00	μB/cell
calculated total energy	-2.06	eV per atom
distance to the lowest polymorph of the same formula	1.193	eV/f.u.
ΔE_f	89	kJ/mol of formula units
density of states at the Fermi level	12.4	states/eV per cell

a = 8.1991 Å, b = 8.1991 Å, c = 8.1991 Å
α = 90.00°, β = 90.00°, γ = 90.00°
Last column: nearest neighbours and their distance in Å.
Space group Fm-3m (No. 225)
Asymmetric unit:
Cs1 0.0000 0.0000 0.0000 (multiplicity 4)  8 Cd 3.55
Y1 0.0000 0.0000 0.5000 (multiplicity 4)  8 Cd 3.55
Cd1 0.2500 0.2500 0.2500 (multiplicity 8)  4 Cs 3.55, 4 Y 3.55

=====

Record 10
First-principles (PBE-GGA) data for CsYCd2 after structural relaxation, as listed in the Alexandria database.

Output
spin magnetization	0.00	μB/cell
calculated total energy	-1.93	eV per atom
distance to the lowest polymorph of the same formula	1.701	eV/f.u.
ΔE_f	138	kJ/mol of formula units
density of states at the Fermi level	12.2	states/eV per cell

a = 9.1005 Å, b = 9.1005 Å, c = 7.8009 Å
α = 90.00°, β = 90.00°, γ = 90.00°
Last column: nearest neighbours and their distance in Å.
Space group I-42d (No. 122)
Asymmetric unit:
Cs1 0.0000 0.0000 0.0000 (multiplicity 4)  4 Cd 3.68, 2 Y 3.90
Y1 0.0000 0.0000 0.5000 (multiplicity 4)  4 Cd 3.08
Cd1 0.2009 0.2500 0.6250 (multiplicity 8)  2 Y 3.08

=====

Record 11
First-principles (PBE-GGA) data for CsYCd2 after structural relaxation, as listed in the Alexandria database.

Output
spin magnetization	0.00	μB/cell
calculated total energy	-2.36	eV per atom
distance to the lowest polymorph of the same formula	0.000	eV/f.u.
ΔE_f	-27	kJ/mol of formula units
density of states at the Fermi level	5.1	states/eV per cell

a = 3.9091 Å, b = 3.9091 Å, c = 9.1004 Å
α = 90.00°, β = 90.00°, γ = 90.00°
Last column: nearest neighbours and their distance in Å.
Space group P4/mmm (No. 123)
Asymmetric unit:
Cs1 0.0000 0.0000 0.0000 (multiplicity 1)  4 Cs 3.91, 8 Cd 4.00
Y1 0.0000 0.0000 0.5000 (multiplicity 1)  8 Cd 3.22
Cd1 0.5000 0.5000 0.3183 (multiplicity 2)  4 Y 3.22, 1 Cd 3.31

=====

- Which of these has the lowest density of states at the Fermi level?
  CsTlZnCd2

=====

- The lowest density of states at the Fermi level belongs to which entry?
  CsTlZnCd2

=====

- Which value of calculated total energy does entry 2 give?
  -1.45 eV per atom